1.
Below is crystalline DyGa2W at its relaxed geometry, with properties calculated at the PBE level.

a b c (Å): 3.0275 3.0275 28.5577
angles (deg): 90.00 90.00 120.00
Space group R-3m (No. 166, hexagonal axes)
Asymmetric unit:
1 Dy 0.0000 0.0000 0.0000
2 Ga 0.0000 0.0000 0.2419
3 W 0.0000 0.0000 0.5000

Results
As for the energy of formation: 0.125 eV/atom. The calculation puts the density of states at the Fermi level at 9.63 states/eV/cell.

2.
Below is crystalline DyYGa at its relaxed geometry, with properties calculated at the PBE level.

a b c (Å): 7.9510 7.9510 4.3564
angles (deg): 90.00 90.00 120.00
Space group P-62m (No. 189)
Asymmetric unit:
1 Dy 0.0000 0.7391 0.0000
2 Y 0.0000 0.4066 0.5000
3 Ga 0.0000 0.0000 0.5000
4 Ga 0.3333 0.6667 0.0000

Results
As for the energy of formation: -0.414 eV/atom. The calculation puts the density of states at the Fermi level at 9.36 states/eV/cell. Its energy above the most stable polymorph in this dataset is 0.00 eV/f.u.